1.
NaPaC: optimized geometry, GGA-PBE.

Output
- energy of formation (eV/f.u.) = 0.1

Cell lengths 4.1508, 4.1508, 9.1752 Å; angles 90.00, 90.00, 90.00 degrees
Closest atoms and distances in Å follow each position.
Space group P4/nmm (No. 129, origin choice 2)
One atom of each set of equivalent atoms:
Na 0.2500 0.2500 0.1059  4 Na 3.52, 4 Pa 3.92
Pa 0.2500 0.2500 0.6106  4 C 2.31
C 0.2500 0.7500 0.5000  4 Pa 2.31

***

2.
CuBiF3: optimized geometry, GGA-PBE.

Output
- E_form (uncorrected) (eV/f.u.) = -6.4

Cell lengths 4.5912, 4.5912, 4.5912 Å; angles 90.00, 90.00, 90.00 degrees
Closest atoms and distances in Å follow each position.
Space group Pm-3m (No. 221)
One atom of each set of equivalent atoms:
Cu 0.0000 0.0000 0.0000  12 F 3.25
Bi 0.5000 0.5000 0.5000  6 F 2.30
F 0.0000 0.5000 0.5000  2 Bi 2.30

***

3.
AcY4Er5: optimized geometry, GGA-PBE.

Output
- energy of formation (eV/f.u.) = 2.2

Cell lengths 17.1702, 3.5821, 11.0880 Å; angles 90.00, 90.70, 90.00 degrees
Closest atoms and distances in Å follow each position.
Space group C2/m (No. 12)
One atom of each set of equivalent atoms:
Ac 0.0000 0.0000 0.0000  6 Y 3.41-3.80, 2 Ac 3.58, 4 Er 3.58
Y 0.0274 0.5000 0.7420  4 Er 3.26-3.39, 2 Ac 3.41, 4 Y 3.58-3.59
Y 0.1538 0.0000 0.2493  4 Y 3.58-3.59, 7 Er 3.64-3.86, 1 Ac 3.80
Er 0.0000 0.0000 0.5000  4 Y 3.26, 6 Er 3.50-3.58
Er 0.1731 0.5000 0.5450  2 Y 3.34-3.72, 6 Er 3.35-3.58
Er 0.1768 0.5000 0.9450  4 Er 3.31-3.58, 2 Y 3.39-3.64, 2 Ac 3.58

***

4.
Th6HgAs3P2: optimized geometry, GGA-PBE.

Output
- energy of formation (eV/f.u.) = -14.3

Cell lengths 18.5139, 4.2012, 8.6057 Å; angles 90.00, 103.26, 90.00 degrees
Closest atoms and distances in Å follow each position.
Space group C2/m (No. 12)
One atom of each set of equivalent atoms:
Th 0.0046 0.0000 0.2642  3 As 2.94-3.04, 1 P 2.95, 2 Hg 3.08
Th 0.1689 0.5000 0.5772  3 P 2.93-2.96, 3 As 3.04-3.06
Th 0.1718 0.5000 0.0956  2 P 2.95, 3 As 2.96-3.06, 1 Hg 3.10
Hg 0.0000 0.5000 0.0000  6 Th 3.08-3.10
As 0.0000 0.5000 0.5000  6 Th 2.94-3.04
As 0.1641 0.0000 0.8331  6 Th 2.96-3.06
P 0.1683 0.0000 0.3351  6 Th 2.93-2.96

***

5.
BeAgBr2: optimized geometry, GGA-PBE.

Output
- E_form (uncorrected) (eV/f.u.) = 0.9

Cell lengths 3.8023, 3.8023, 15.0999 Å; angles 90.00, 90.00, 90.00 degrees
Closest atoms and distances in Å follow each position.
Space group I-4m2 (No. 119)
One atom of each set of equivalent atoms:
Be 0.0000 0.0000 0.0000  4 Br 2.69
Ag 0.0000 0.5000 0.2500  4 Br 2.69
Br 0.0000 0.0000 0.5000  4 Be 2.69
Br 0.0000 0.5000 0.7500  4 Ag 2.69

***

6.
Nd8Sn2Ir: optimized geometry, GGA-PBE.

Output
- energy of formation (eV/f.u.) = -4.8

Cell lengths 19.8758, 5.0935, 6.9734 Å; angles 90.00, 105.27, 90.00 degrees
Closest atoms and distances in Å follow each position.
Space group C2/m (No. 12)
One atom of each set of equivalent atoms:
Nd 0.0168 0.0000 0.2858  2 Ir 3.02, 1 Nd 3.23, 1 Sn 3.32
Nd 0.0908 0.5000 0.9622  1 Ir 3.25, 2 Sn 3.44, 3 Nd 3.48-3.61
Nd 0.1464 0.5000 0.4982  1 Ir 2.91, 2 Sn 3.24
Nd 0.2170 0.0000 0.8207  3 Sn 3.27-3.38, 4 Nd 3.44-3.57
Sn 0.1804 0.0000 0.2515  9 Nd 3.24-3.44
Ir 0.0000 0.5000 0.5000  8 Nd 2.91-3.25

***

Table of electronic total energy (hartree per atom), in record order: -0.244; -0.147; -0.186; -0.257; -0.083; -0.200